BaSi3Sb | GGA-PBE | optimized geometry

Cell and atoms, written as extended XYZ:
```
5
Lattice="5.585 0.000 0.000 0.000 5.585 0.000 0.000 0.000 5.585" Properties=species:S:1:pos:R:3 pbc="T T T"
Sb 2.793 2.793 2.793
Si 0.000 2.793 0.000
Si 2.793 0.000 0.000
Si 0.000 0.000 2.793
Ba 0.000 0.000 0.000
```

- Space group: No. 221
- Calculated volume: 174.2 Å³/cell
- Crystal system: cubic
- Theoretical density: 3.27 g/cm³
- E above lowest polymorph: 5.83 eV/f.u.
- N(E_F): 6.3 states/eV/cell
- E_tot: -2.680 eV/atom
- Uncorrected formation energy: 41.1 kcal/mol of atoms